Entry from the Alexandria database: Ba2CuIrI after structural relaxation (PBE-GGA).

The structure in POSCAR format:
```
Ba2CuIrI
1.0
6.0384 0.0000 0.0000
0.0000 6.0384 0.0000
0.0000 0.0000 4.8219
Ba Cu Ir I
2 1 1 1
direct
0.0000 0.5000 0.0000
0.5000 0.0000 0.0000
0.0000 0.0000 0.5000
0.0000 0.0000 0.0000
0.5000 0.5000 0.5000
```

Values from the calculation:
total DFT energy (no corrections)	-20.6	eV for the cell shown
size of the total moment	0.00	μB/cell